1.
VASP calculation (GGA-PBE) on a relaxed structure of SbPPd2.

a b c (Å): 6.5086 6.5086 6.5086
angles (deg): 90.00 90.00 90.00
With the nearest neighbours (Å) after each atom.
Positions (direct):
Sb 0.0000 0.0000 0.0000  8 Pd 2.82
Sb 0.0000 0.5000 0.5000  8 Pd 2.82
Sb 0.5000 0.0000 0.5000  8 Pd 2.82
Sb 0.5000 0.5000 0.0000  8 Pd 2.82
P 0.0000 0.0000 0.5000  8 Pd 2.82
P 0.0000 0.5000 0.0000  8 Pd 2.82
P 0.5000 0.0000 0.0000  8 Pd 2.82
P 0.5000 0.5000 0.5000  8 Pd 2.82
Pd 0.2500 0.2500 0.2500  4 Sb 2.82, 4 P 2.82
Pd 0.2500 0.2500 0.7500  4 Sb 2.82, 4 P 2.82
Pd 0.2500 0.7500 0.2500  4 Sb 2.82, 4 P 2.82
Pd 0.2500 0.7500 0.7500  4 Sb 2.82, 4 P 2.82
Pd 0.7500 0.2500 0.2500  4 Sb 2.82, 4 P 2.82
Pd 0.7500 0.2500 0.7500  4 Sb 2.82, 4 P 2.82
Pd 0.7500 0.7500 0.2500  4 Sb 2.82, 4 P 2.82
Pd 0.7500 0.7500 0.7500  4 P 2.82, 4 Sb 2.82

Calculated values
energy above the most stable polymorph in this dataset: 2.92 kcal/mol of atoms
space-group type: Fm-3m (225)

---

2.
VASP calculation (GGA-PBE) on a relaxed structure of SbP2Pd.

a b c (Å): 5.6853 5.6853 11.4249
angles (deg): 90.00 90.00 90.00
With the nearest neighbours (Å) after each atom.
Positions (direct):
Sb 0.0000 0.0000 0.0000  4 P 2.61
Sb 0.0000 0.5000 0.2500  4 P 2.61
Sb 0.5000 0.0000 0.7500  4 P 2.61
Sb 0.5000 0.5000 0.5000  4 P 2.61
P 0.2094 0.2500 0.6250  2 Pd 2.34, 2 Sb 2.61
P 0.2500 0.7094 0.8750  2 Pd 2.34, 2 Sb 2.61
P 0.2500 0.7906 0.3750  2 Pd 2.34, 2 Sb 2.61
P 0.2906 0.2500 0.1250  2 Pd 2.34, 2 Sb 2.61
P 0.7094 0.7500 0.1250  2 Pd 2.34, 2 Sb 2.61
P 0.7500 0.2094 0.3750  2 Pd 2.34, 2 Sb 2.61
P 0.7500 0.2906 0.8750  2 Pd 2.34, 2 Sb 2.61
P 0.7906 0.7500 0.6250  2 Pd 2.34, 2 Sb 2.61
Pd 0.0000 0.0000 0.5000  4 P 2.34
Pd 0.0000 0.5000 0.7500  4 P 2.34
Pd 0.5000 0.0000 0.2500  4 P 2.34
Pd 0.5000 0.5000 0.0000  4 P 2.34

Calculated values
space-group type: I-42d (122)

---

3.
VASP calculation (GGA-PBE) on a relaxed structure of SbPPd3.

a b c (Å): 7.0945 5.5162 9.1553
angles (deg): 90.00 102.23 90.00
With the nearest neighbours (Å) after each atom.
Positions (direct):
Sb 0.0888 0.1905 0.1635  8 Pd 2.74-2.89
Sb 0.0888 0.3095 0.6635  8 Pd 2.74-2.89
Sb 0.9112 0.6905 0.3365  8 Pd 2.74-2.89
Sb 0.9112 0.8095 0.8365  8 Pd 2.74-2.89
P 0.4497 0.6912 0.0490  6 Pd 2.39-2.46, 1 P 2.46
P 0.4497 0.8088 0.5490  6 Pd 2.39-2.46, 1 P 2.46
P 0.5503 0.1912 0.4510  6 Pd 2.39-2.46, 1 P 2.46
P 0.5503 0.3088 0.9510  6 Pd 2.39-2.46, 1 P 2.46
Pd 0.1354 0.6807 0.1069  1 P 2.40
Pd 0.1354 0.8193 0.6069  1 P 2.40
Pd 0.2699 0.0364 0.9245  2 P 2.44-2.46
Pd 0.2699 0.4636 0.4245  2 P 2.44-2.46
Pd 0.4777 0.1849 0.6949  3 P 2.39-2.45
Pd 0.4777 0.3151 0.1949  3 P 2.39-2.45
Pd 0.5223 0.6849 0.8051  3 P 2.39-2.45
Pd 0.5223 0.8151 0.3051  3 P 2.39-2.45
Pd 0.7301 0.5364 0.5755  2 P 2.44-2.46
Pd 0.7301 0.9636 0.0755  2 P 2.44-2.46
Pd 0.8646 0.1807 0.3931  1 P 2.40
Pd 0.8646 0.3193 0.8931  1 P 2.40

Calculated values
energy above the most stable polymorph in this dataset: 0.00 kcal/mol of atoms
space-group type: P2_1/c (14)

---

4.
VASP calculation (GGA-PBE) on a relaxed structure of SbPPd5.

a b c (Å): 6.5690 6.5690 7.9669
angles (deg): 118.23 118.23 79.51
With the nearest neighbours (Å) after each atom.
Positions (direct):
Sb 0.0491 0.9509 0.7500  7 Pd 2.62-2.78
Sb 0.9509 0.0491 0.2500  7 Pd 2.62-2.78
P 0.5000 0.5000 0.0000  6 Pd 2.30-2.33
P 0.5000 0.5000 0.5000  6 Pd 2.30-2.33
Pd 0.2038 0.2543 0.1800  1 P 2.33
Pd 0.2171 0.7445 0.4102  1 P 2.30
Pd 0.2543 0.2038 0.6800  1 P 2.33
Pd 0.2555 0.7829 0.0898  1 P 2.30
Pd 0.3608 0.6392 0.7500  2 P 2.31
Pd 0.6392 0.3608 0.2500  2 P 2.31
Pd 0.7445 0.2171 0.9102  1 P 2.30
Pd 0.7457 0.7962 0.3200  1 P 2.33
Pd 0.7829 0.2555 0.5898  1 P 2.30
Pd 0.7962 0.7457 0.8200  1 P 2.33

Calculated values
space-group type: C2/c (15)

---

5.
VASP calculation (GGA-PBE) on a relaxed structure of SbP2Pd8.

a b c (Å): 7.6315 7.6315 6.2894
angles (deg): 112.45 112.45 30.60
With the nearest neighbours (Å) after each atom.
Positions (direct):
Sb 0.0000 0.0000 0.0000  8 Pd 2.71-2.79
P 0.3178 0.3178 0.3217  5 Pd 2.31-2.44
P 0.6822 0.6822 0.6783  5 Pd 2.31-2.44
Pd 0.0954 0.0954 0.4814  2 P 2.44
Pd 0.1812 0.1812 0.9740  1 P 2.31
Pd 0.3089 0.3089 0.6857  1 P 2.34
Pd 0.4608 0.4608 0.2385  1 P 2.36
Pd 0.5392 0.5392 0.7615  1 P 2.36
Pd 0.6911 0.6911 0.3143  1 P 2.34
Pd 0.8188 0.8188 0.0260  1 P 2.31
Pd 0.9046 0.9046 0.5186  2 P 2.44

Calculated values
energy above the most stable polymorph in this dataset: 0.33 kcal/mol of atoms
space-group type: C2/m (12)

---

6.
VASP calculation (GGA-PBE) on a relaxed structure of SbPPd2.

a b c (Å): 4.6403 4.6403 14.9951
angles (deg): 90.00 90.00 90.00
With the nearest neighbours (Å) after each atom.
Positions (direct):
Sb 0.0000 0.0000 0.0000  4 Pd 2.67
Sb 0.0000 0.5000 0.2500  4 Pd 2.67
Sb 0.5000 0.0000 0.7500  4 Pd 2.67
Sb 0.5000 0.5000 0.5000  4 Pd 2.67
P 0.0000 0.0000 0.5000  4 Pd 2.35
P 0.0000 0.5000 0.7500  4 Pd 2.35
P 0.5000 0.0000 0.2500  4 Pd 2.35
P 0.5000 0.5000 0.0000  4 Pd 2.35
Pd 0.1747 0.2500 0.6250  2 P 2.35
Pd 0.2500 0.6747 0.8750  2 P 2.35
Pd 0.2500 0.8253 0.3750  2 P 2.35
Pd 0.3253 0.2500 0.1250  2 P 2.35
Pd 0.6747 0.7500 0.1250  2 P 2.35
Pd 0.7500 0.1747 0.3750  2 P 2.35
Pd 0.7500 0.3253 0.8750  2 P 2.35
Pd 0.8253 0.7500 0.6250  2 P 2.35

Calculated values
energy above the most stable polymorph in this dataset: 0.00 kcal/mol of atoms
space-group type: I-42d (122)

---

The records above yield raw formation energy values of -0.47; -0.04; -1.96; -1.44; -4.87; -0.98 eV/f.u., respectively.